A plane-wave DFT calculation with PBE-GGA was carried out for crystalline Re2TeRhPb at its relaxed geometry.

a b c (Å): 4.799 4.799 5.304
angles (deg): 90.00 90.00 90.00
Sites, in units of the cell vectors:
Re  0.000  0.500  0.000
Re  0.500  0.000  0.000
Te  0.000  0.000  0.500
Rh  0.000  0.000  0.000
Pb  0.500  0.500  0.500

Values from the calculation:
The raw formation energy comes out at 1687 meV per atom. The calculation puts the density of states at the Fermi level at 7.0 states/eV/f.u. The calculation puts the total energy at -30.66 eV/cell.

A plane-wave DFT calculation with PBE-GGA was carried out for crystalline ReRh2PbW at its relaxed geometry.

a b c (Å): 4.697 4.697 5.133
angles (deg): 90.00 90.00 90.00
Sites, in units of the cell vectors:
Re  0.000  0.000  0.000
Rh  0.000  0.500  0.000
Rh  0.500  0.000  0.000
Pb  0.000  0.000  0.500
W  0.500  0.500  0.500

Values from the calculation:
The calculation puts the density of states at the Fermi level at 4.5 states/eV/f.u. For the calculated formation energy, the calculation gives 1.931 eV per atom. The calculation puts the total energy at -34.16 eV/cell.

A plane-wave DFT calculation with PBE-GGA was carried out for crystalline ReRuPb2 at its relaxed geometry.

a b c (Å): 3.128 4.458 5.716
angles (deg): 90.00 92.63 90.00
Sites, in units of the cell vectors:
Re  0.000  0.000  0.000
Ru  0.500  0.000  0.500
Pb  0.259  0.500  0.747
Pb  0.741  0.500  0.253

Values from the calculation:
Its polymorph energy (0 for the lowest one) is 0.693 eV per atom. The calculation puts the density of states at the Fermi level at 4.2 states/eV/f.u. For the calculated formation energy, the calculation gives 1.053 eV per atom. The calculation puts the total energy at -24.93 eV/cell.

A plane-wave DFT calculation with PBE-GGA was carried out for crystalline ReRuPb at its relaxed geometry.

a b c (Å): 6.456 6.456 6.456
angles (deg): 153.20 153.20 38.27
Sites, in units of the cell vectors:
Re  0.000  0.000  0.000
Ru  0.379  0.379  0.000
Pb  0.689  0.689  0.000

Values from the calculation:
Its polymorph energy (0 for the lowest one) is 0.000 eV per atom. The calculation puts the density of states at the Fermi level at 3.5 states/eV/f.u. For the calculated formation energy, the calculation gives 0.520 eV per atom. The calculation puts the total energy at -23.87 eV/cell.

A plane-wave DFT calculation with PBE-GGA was carried out for crystalline ReRuPb2 at its relaxed geometry.

a b c (Å): 3.037 3.037 9.588
angles (deg): 90.00 90.00 90.00
Sites, in units of the cell vectors:
Re  0.000  0.000  0.000
Ru  0.500  0.500  0.846
Pb  0.000  0.000  0.616
Pb  0.500  0.500  0.239

Values from the calculation:
Its polymorph energy (0 for the lowest one) is 0.000 eV per atom. The calculation puts the density of states at the Fermi level at 2.0 states/eV/f.u. For the calculated formation energy, the calculation gives 0.360 eV per atom. The calculation puts the total energy at -27.70 eV/cell.

A plane-wave DFT calculation with PBE-GGA was carried out for crystalline ReRuPb at its relaxed geometry.

a b c (Å): 2.964 2.964 7.094
angles (deg): 90.00 90.00 120.00
Sites, in units of the cell vectors:
Re  0.000  0.000  0.000
Ru  0.667  0.333  0.275
Pb  0.333  0.667  0.633

Values from the calculation:
Its polymorph energy (0 for the lowest one) is 0.118 eV per atom. The calculation puts the density of states at the Fermi level at 2.4 states/eV/f.u. For the calculated formation energy, the calculation gives 0.638 eV per atom. The calculation puts the total energy at -23.52 eV/cell.

A plane-wave DFT calculation with PBE-GGA was carried out for crystalline ReRuPb at its relaxed geometry.

a b c (Å): 4.369 4.369 4.369
angles (deg): 60.00 60.00 60.00
Sites, in units of the cell vectors:
Re  0.000  0.000  0.000
Ru  0.250  0.250  0.250
Pb  0.500  0.500  0.500

Values from the calculation:
Its polymorph energy (0 for the lowest one) is 0.218 eV per atom. The calculation puts the density of states at the Fermi level at 3.2 states/eV/f.u. For the calculated formation energy, the calculation gives 0.739 eV per atom. The calculation puts the total energy at -23.22 eV/cell.

A plane-wave DFT calculation with PBE-GGA was carried out for crystalline ReRuPb2 at its relaxed geometry.

a b c (Å): 4.748 4.748 3.346
angles (deg): 90.00 90.00 90.00
Sites, in units of the cell vectors:
Re  0.000  0.000  0.000
Ru  0.500  0.500  0.000
Pb  0.000  0.500  0.500
Pb  0.500  0.000  0.500

Values from the calculation:
Its polymorph energy (0 for the lowest one) is 0.520 eV per atom. The calculation puts the density of states at the Fermi level at 4.0 states/eV/f.u. For the calculated formation energy, the calculation gives 0.880 eV per atom. The calculation puts the total energy at -25.62 eV/cell.

Repeat the fifth record exactly.
A plane-wave DFT calculation with PBE-GGA was carried out for crystalline ReRuPb2 at its relaxed geometry.

a b c (Å): 3.037 3.037 9.588
angles (deg): 90.00 90.00 90.00
Sites, in units of the cell vectors:
Re  0.000  0.000  0.000
Ru  0.500  0.500  0.846
Pb  0.000  0.000  0.616
Pb  0.500  0.500  0.239

Values from the calculation:
Its polymorph energy (0 for the lowest one) is 0.000 eV per atom. The calculation puts the density of states at the Fermi level at 2.0 states/eV/f.u. For the calculated formation energy, the calculation gives 0.360 eV per atom. The calculation puts the total energy at -27.70 eV/cell.